w.
# BeSnO2, relaxed, DFT PBE-GGA
data_BeSnO2
_cell_length_a 5.0613
_cell_length_b 5.0613
_cell_length_c 7.3369
_cell_angle_alpha 90.00
_cell_angle_beta 90.00
_cell_angle_gamma 90.00
_symmetry_space_group_name_H-M 'I -4 2 d'
_symmetry_Int_Tables_number 122
_symmetry_space_group_name_Hall 'I -4 2bw'
loop_
_atom_site_label
_atom_site_type_symbol
_atom_site_fract_x
_atom_site_fract_y
_atom_site_fract_z
Be1 Be 0.0000 0.0000 0.0000
Sn1 Sn 0.0000 0.0000 0.5000
O1 O 0.1201 0.2500 0.1250
# - DOS(E_F) (states/eV per atom) = 0.0000
# - theoretical density (g/cm3) = 5.64



x.
# BeSnO2, relaxed, DFT PBE-GGA
data_BeSnO2
_cell_length_a 3.6958
_cell_length_b 3.6958
_cell_length_c 16.4374
_cell_angle_alpha 90.00
_cell_angle_beta 90.00
_cell_angle_gamma 120.00
_symmetry_space_group_name_H-M 'R -3 m'
_symmetry_Int_Tables_number 166
_symmetry_space_group_name_Hall '-R 3 2"'
loop_
_atom_site_label
_atom_site_type_symbol
_atom_site_fract_x
_atom_site_fract_y
_atom_site_fract_z
Be1 Be 0.0000 0.0000 0.0000
Sn1 Sn 0.0000 0.0000 0.5000
O1 O 0.0000 0.0000 0.0873
# - DOS(E_F) (states/eV per atom) = 0.0000
# - theoretical density (g/cm3) = 4.09



We find w to be the most stable, with the next structure 0.183 eV/atom higher.



w.
# ZnClF2, relaxed, DFT PBE-GGA
data_ZnClF2
_cell_length_a 5.9444
_cell_length_b 5.9444
_cell_length_c 5.9444
_cell_angle_alpha 90.00
_cell_angle_beta 90.00
_cell_angle_gamma 90.00
_symmetry_space_group_name_H-M 'F m -3 m'
_symmetry_Int_Tables_number 225
_symmetry_space_group_name_Hall '-F 4 2 3'
loop_
_atom_site_label
_atom_site_type_symbol
_atom_site_fract_x
_atom_site_fract_y
_atom_site_fract_z
Zn1 Zn 0.0000 0.0000 0.0000
Cl1 Cl 0.0000 0.0000 0.5000
F1 F 0.2500 0.2500 0.2500
# - DOS(E_F) (states/eV per atom) = 1.0872
# - theoretical density (g/cm3) = 4.39



x.
# ZnClF2, relaxed, DFT PBE-GGA
data_ZnClF2
_cell_length_a 3.3094
_cell_length_b 5.4219
_cell_length_c 8.6458
_cell_angle_alpha 93.48
_cell_angle_beta 93.14
_cell_angle_gamma 90.06
_symmetry_space_group_name_H-M 'P 1'
_symmetry_Int_Tables_number 1
loop_
_symmetry_equiv_pos_as_xyz
'x,y,z'
loop_
_atom_site_label
_atom_site_type_symbol
_atom_site_fract_x
_atom_site_fract_y
_atom_site_fract_z
Zn1 Zn 0.0000 0.0000 0.0000
Zn2 Zn 0.4999 0.5002 0.0024
Cl1 Cl 0.1614 0.4149 0.4715
Cl2 Cl 0.3367 0.0809 0.5312
F1 F 0.0157 0.6801 0.1139
F2 F 0.4843 0.8200 0.8887
F3 F 0.5159 0.1767 0.1120
F4 F 0.9839 0.3235 0.8905
# - DOS(E_F) (states/eV per atom) = 0.0000
# - theoretical density (g/cm3) = 2.98



We find x to be the most stable, with the next structure 1.032 eV/atom higher.



w.
# KZr2Os, relaxed, DFT PBE-GGA
data_KZr2Os
_cell_length_a 6.4522
_cell_length_b 6.4522
_cell_length_c 15.3692
_cell_angle_alpha 90.00
_cell_angle_beta 90.00
_cell_angle_gamma 90.00
_symmetry_space_group_name_H-M 'I 41/a m d'
_symmetry_Int_Tables_number 141
loop_
_symmetry_equiv_pos_as_xyz
'x,y,z'
'-x,-y,-z'
'-y+1/4,x+3/4,z+1/4'
'y+1/4,-x+3/4,-z+1/4'
'-x+1/2,-y,z+1/2'
'x+1/2,y,-z+1/2'
'y+1/4,-x+1/4,z+3/4'
'-y+1/4,x+1/4,-z+3/4'
'x,-y,-z'
'-x,y,z'
'-y+1/4,-x+1/4,-z+3/4'
'y+1/4,x+1/4,z+3/4'
'-x+1/2,y,-z+1/2'
'x+1/2,-y,z+1/2'
'y+1/4,x+3/4,-z+1/4'
'-y+1/4,-x+3/4,z+1/4'
'x+1/2,y+1/2,z+1/2'
'-x+1/2,-y+1/2,-z+1/2'
'-y+3/4,x+1/4,z+3/4'
'y+3/4,-x+1/4,-z+3/4'
'-x,-y+1/2,z'
'x,y+1/2,-z'
'y+3/4,-x+3/4,z+1/4'
'-y+3/4,x+3/4,-z+1/4'
'x+1/2,-y+1/2,-z+1/2'
'-x+1/2,y+1/2,z+1/2'
'-y+3/4,-x+3/4,-z+1/4'
'y+3/4,x+3/4,z+1/4'
'-x,y+1/2,-z'
'x,-y+1/2,z'
'y+3/4,x+1/4,-z+3/4'
'-y+3/4,-x+1/4,z+3/4'
loop_
_atom_site_label
_atom_site_type_symbol
_atom_site_fract_x
_atom_site_fract_y
_atom_site_fract_z
K1 K 0.0000 0.2500 0.3750
Zr1 Zr 0.0000 0.0000 0.0000
Os1 Os 0.0000 0.2500 0.8750
# - DOS(E_F) (states/eV per atom) = 0.9631
# - theoretical density (g/cm3) = 4.27



x.
# KZr2Os, relaxed, DFT PBE-GGA
data_KZr2Os
_cell_length_a 3.2058
_cell_length_b 3.1711
_cell_length_c 10.5219
_cell_angle_alpha 90.00
_cell_angle_beta 90.09
_cell_angle_gamma 90.00
_symmetry_space_group_name_H-M 'P 1 2/m 1'
_symmetry_Int_Tables_number 10
loop_
_symmetry_equiv_pos_as_xyz
'x,y,z'
'-x,-y,-z'
'-x,y,-z'
'x,-y,z'
loop_
_atom_site_label
_atom_site_type_symbol
_atom_site_fract_x
_atom_site_fract_y
_atom_site_fract_z
K1 K 0.0000 0.0000 0.0000
Zr1 Zr 0.4913 0.5000 0.3406
Os1 Os 0.0000 0.0000 0.5000
# - DOS(E_F) (states/eV per atom) = 1.1518
# - theoretical density (g/cm3) = 6.39



We find x to be the most stable, with the next structure 0.982 eV/atom higher.



w.
# Y2ZrAg, relaxed, DFT PBE-GGA
data_Y2ZrAg
_cell_length_a 8.2692
_cell_length_b 8.2692
_cell_length_c 6.3490
_cell_angle_alpha 90.00
_cell_angle_beta 90.00
_cell_angle_gamma 90.00
_symmetry_space_group_name_H-M 'I -4 2 d'
_symmetry_Int_Tables_number 122
_symmetry_space_group_name_Hall 'I -4 2bw'
loop_
_atom_site_label
_atom_site_type_symbol
_atom_site_fract_x
_atom_site_fract_y
_atom_site_fract_z
Y1 Y 0.2125 0.2500 0.1250
Zr1 Zr 0.0000 0.0000 0.5000
Ag1 Ag 0.0000 0.0000 0.0000
# - DOS(E_F) (states/eV per atom) = 0.9060
# - theoretical density (g/cm3) = 5.77



x.
# Y2ZrAg, relaxed, DFT PBE-GGA
data_Y2ZrAg
_cell_length_a 4.7513
_cell_length_b 4.7513
_cell_length_c 9.0213
_cell_angle_alpha 90.00
_cell_angle_beta 90.00
_cell_angle_gamma 90.00
_symmetry_space_group_name_H-M 'I 4/m m m'
_symmetry_Int_Tables_number 139
_symmetry_space_group_name_Hall '-I 4 2'
loop_
_atom_site_label
_atom_site_type_symbol
_atom_site_fract_x
_atom_site_fract_y
_atom_site_fract_z
Y1 Y 0.0000 0.5000 0.2500
Zr1 Zr 0.0000 0.0000 0.0000
Ag1 Ag 0.0000 0.0000 0.5000
# - DOS(E_F) (states/eV per atom) = 1.4284
# - theoretical density (g/cm3) = 6.15



We find x to be the most stable, with the next structure 0.171 eV/atom higher.



w.
# InIr2SN, relaxed, DFT PBE-GGA
data_InIr2SN
_cell_length_a 5.0592
_cell_length_b 5.0592
_cell_length_c 3.9029
_cell_angle_alpha 90.00
_cell_angle_beta 90.00
_cell_angle_gamma 90.00
_symmetry_space_group_name_H-M 'P 4/m m m'
_symmetry_Int_Tables_number 123
_symmetry_space_group_name_Hall '-P 4 2'
loop_
_atom_site_label
_atom_site_type_symbol
_atom_site_fract_x
_atom_site_fract_y
_atom_site_fract_z
In1 In 0.0000 0.0000 0.0000
Ir1 Ir 0.0000 0.5000 0.0000
S1 S 0.5000 0.5000 0.5000
N1 N 0.0000 0.0000 0.5000
# - DOS(E_F) (states/eV per atom) = 1.1474
# - theoretical density (g/cm3) = 9.06



x.
# InIr2SN, relaxed, DFT PBE-GGA
data_InIr2SN
_cell_length_a 5.0170
_cell_length_b 5.0170
_cell_length_c 4.7853
_cell_angle_alpha 90.00
_cell_angle_beta 90.00
_cell_angle_gamma 90.00
_symmetry_space_group_name_H-M 'P 4/m m m'
_symmetry_Int_Tables_number 123
_symmetry_space_group_name_Hall '-P 4 2'
loop_
_atom_site_label
_atom_site_type_symbol
_atom_site_fract_x
_atom_site_fract_y
_atom_site_fract_z
In1 In 0.0000 0.0000 0.0000
Ir1 Ir 0.0000 0.5000 0.0000
S1 S 0.0000 0.0000 0.5000
N1 N 0.5000 0.5000 0.5000
# - DOS(E_F) (states/eV per atom) = 2.0471
# - theoretical density (g/cm3) = 7.52



We find w to be the most stable, with the next structure 0.740 eV/atom higher.



w.
# NaTc3Pb, relaxed, DFT PBE-GGA
data_NaTc3Pb
_cell_length_a 4.6292
_cell_length_b 4.6292
_cell_length_c 4.6292
_cell_angle_alpha 90.00
_cell_angle_beta 90.00
_cell_angle_gamma 90.00
_symmetry_space_group_name_H-M 'P m -3 m'
_symmetry_Int_Tables_number 221
_symmetry_space_group_name_Hall '-P 4 2 3'
loop_
_atom_site_label
_atom_site_type_symbol
_atom_site_fract_x
_atom_site_fract_y
_atom_site_fract_z
Na1 Na 0.0000 0.0000 0.0000
Tc1 Tc 0.0000 0.0000 0.5000
Pb1 Pb 0.5000 0.5000 0.5000
# - DOS(E_F) (states/eV per atom) = 0.3508
# - theoretical density (g/cm3) = 8.77



x.
# NaTc3Pb, relaxed, DFT PBE-GGA
data_NaTc3Pb
_cell_length_a 5.2007
_cell_length_b 5.2007
_cell_length_c 5.2007
_cell_angle_alpha 90.00
_cell_angle_beta 90.00
_cell_angle_gamma 90.00
_symmetry_space_group_name_H-M 'P m -3 m'
_symmetry_Int_Tables_number 221
_symmetry_space_group_name_Hall '-P 4 2 3'
loop_
_atom_site_label
_atom_site_type_symbol
_atom_site_fract_x
_atom_site_fract_y
_atom_site_fract_z
Na1 Na 0.0000 0.0000 0.0000
Tc1 Tc 0.0000 0.5000 0.5000
Pb1 Pb 0.5000 0.5000 0.5000
# - DOS(E_F) (states/eV per atom) = 0.6739
# - theoretical density (g/cm3) = 6.19



We find x to be the most stable, with the next structure 0.016 eV/atom higher.



w.
# BeCr2Cd, relaxed, DFT PBE-GGA
data_BeCr2Cd
_cell_length_a 8.3024
_cell_length_b 2.5549
_cell_length_c 5.0472
_cell_angle_alpha 90.00
_cell_angle_beta 94.67
_cell_angle_gamma 90.00
_symmetry_space_group_name_H-M 'C 1 m 1'
_symmetry_Int_Tables_number 8
loop_
_symmetry_equiv_pos_as_xyz
'x,y,z'
'x,-y,z'
'x+1/2,y+1/2,z'
'x+1/2,-y+1/2,z'
loop_
_atom_site_label
_atom_site_type_symbol
_atom_site_fract_x
_atom_site_fract_y
_atom_site_fract_z
Be1 Be 0.0000 0.0000 0.0000
Cr1 Cr 0.0033 0.5000 0.5942
Cr2 Cr 0.2635 0.0000 0.7751
Cd1 Cd 0.2533 0.5000 0.2655
# - DOS(E_F) (states/eV per atom) = 0.7353
# - theoretical density (g/cm3) = 7.02



x.
# BeCr2Cd, relaxed, DFT PBE-GGA
data_BeCr2Cd
_cell_length_a 3.4558
_cell_length_b 3.9072
_cell_length_c 7.5884
_cell_angle_alpha 90.00
_cell_angle_beta 90.00
_cell_angle_gamma 90.00
_symmetry_space_group_name_H-M 'C m m m'
_symmetry_Int_Tables_number 65
_symmetry_space_group_name_Hall '-C 2 2'
loop_
_atom_site_label
_atom_site_type_symbol
_atom_site_fract_x
_atom_site_fract_y
_atom_site_fract_z
Be1 Be 0.0000 0.0000 0.0000
Cr1 Cr 0.0000 0.5000 0.1989
Cd1 Cd 0.0000 0.0000 0.5000
# - DOS(E_F) (states/eV per atom) = 0.7302
# - theoretical density (g/cm3) = 7.31



We find x to be the most stable, with the next structure 0.054 eV/atom higher.



w.
# CaMo2Ru, relaxed, DFT PBE-GGA
data_CaMo2Ru
_cell_length_a 2.8002
_cell_length_b 4.5884
_cell_length_c 5.4302
_cell_angle_alpha 90.00
_cell_angle_beta 90.00
_cell_angle_gamma 90.00
_symmetry_space_group_name_H-M 'P m m m'
_symmetry_Int_Tables_number 47
loop_
_symmetry_equiv_pos_as_xyz
'x,y,z'
'-x,-y,-z'
'-x,-y,z'
'x,y,-z'
'x,-y,-z'
'-x,y,z'
'-x,y,-z'
'x,-y,z'
loop_
_atom_site_label
_atom_site_type_symbol
_atom_site_fract_x
_atom_site_fract_y
_atom_site_fract_z
Ca1 Ca 0.0000 0.0000 0.0000
Mo1 Mo 0.5000 0.5000 0.2711
Ru1 Ru 0.0000 0.0000 0.5000
# - DOS(E_F) (states/eV per atom) = 0.8662
# - theoretical density (g/cm3) = 7.93



x.
# CaMo2Ru, relaxed, DFT PBE-GGA
data_CaMo2Ru
_cell_length_a 3.4005
_cell_length_b 3.4005
_cell_length_c 7.0111
_cell_angle_alpha 90.00
_cell_angle_beta 90.00
_cell_angle_gamma 90.00
_symmetry_space_group_name_H-M 'P 4/m m m'
_symmetry_Int_Tables_number 123
_symmetry_space_group_name_Hall '-P 4 2'
loop_
_atom_site_label
_atom_site_type_symbol
_atom_site_fract_x
_atom_site_fract_y
_atom_site_fract_z
Ca1 Ca 0.0000 0.0000 0.0000
Mo1 Mo 0.5000 0.5000 0.3341
Ru1 Ru 0.0000 0.0000 0.5000
# - DOS(E_F) (states/eV per atom) = 1.7555
# - theoretical density (g/cm3) = 6.82



We find x to be the most stable, with the next structure 0.090 eV/atom higher.